A.
A PBEsol-optimized structure of Cs. Source: the Alexandria database, functional SCAN.

Results
- M_tot (μB/cell) = 0.0
- DOS(E_F) (states/eV per cell) = 8.789

Cell: 9.8258 9.8258 9.8258 Å, 90.00 90.00 90.00°
Space group Pm-3n (No. 223)
Unique sites:
Cs (0.0000, 0.0000, 0.0000) [2 per cell]
Cs (0.0000, 0.2500, 0.5000) [6 per cell]

B.
A PBEsol-optimized structure of Cs. Source: the Alexandria database, functional SCAN.

Results
- M_tot (μB/cell) = 0.0
- DOS(E_F) (states/eV per cell) = 66.684

Cell: 18.4925 18.4925 18.4925 Å, 90.00 90.00 90.00°
Space group I-43m (No. 217)
Unique sites:
Cs (0.0000, 0.0000, 0.0000) [2 per cell]
Cs (0.0444, 0.3617, 0.6383) [24 per cell]
Cs (0.0926, 0.0926, 0.7175) [24 per cell]
Cs (0.1809, 0.1809, 0.1809) [8 per cell]

In meV per atom, relative to the most stable structure: A 0; B 12.

A.
A PBEsol-optimized structure of BeCr2Cd. Source: the Alexandria database, functional SCAN.

Results
- M_tot (μB/cell) = 0.0
- DOS(E_F) (states/eV per cell) = 3.033

Cell: 3.0074 3.0074 5.6015 Å, 90.00 90.00 90.00°
Space group P4/mmm (No. 123)
Unique sites:
Be (0.0000, 0.0000, 0.0000) [1 per cell]
Cr (0.5000, 0.5000, 0.1749) [2 per cell]
Cd (0.0000, 0.0000, 0.5000) [1 per cell]

B.
A PBEsol-optimized structure of BeCr2Cd. Source: the Alexandria database, functional SCAN.

Results
- M_tot (μB/cell) = 0.0
- DOS(E_F) (states/eV per cell) = 2.332

Cell: 3.4280 3.4280 4.1885 Å, 90.00 90.00 90.00°
Space group P4/mmm (No. 123)
Unique sites:
Be (0.0000, 0.0000, 0.0000) [1 per cell]
Cr (0.0000, 0.5000, 0.5000) [2 per cell]
Cd (0.5000, 0.5000, 0.0000) [1 per cell]

In meV per atom, relative to the most stable structure: A 0; B 78.

A.
A PBEsol-optimized structure of LiLaTa2. Source: the Alexandria database, functional SCAN.

Results
- M_tot (μB/cell) = 0.0
- DOS(E_F) (states/eV per cell) = 7.641

Cell: 9.4978 2.8952 6.0790 Å, 90.00 94.34 90.00°
Space group Cm (No. 8)
Unique sites:
Li (0.0000, 0.0000, 0.0000) [2 per cell]
La (0.2532, 0.5000, 0.2722) [2 per cell]
Ta (0.0184, 0.5000, 0.5852) [2 per cell]
Ta (0.2593, 0.0000, 0.7575) [2 per cell]

B.
A PBEsol-optimized structure of LiLaTa2. Source: the Alexandria database, functional SCAN.

Results
- M_tot (μB/cell) = 0.0
- DOS(E_F) (states/eV per cell) = 7.466

Cell: 3.2534 4.9722 10.4242 Å, 90.00 90.00 90.00°
Space group Cmm2 (No. 35)
Unique sites:
Li (0.0000, 0.0000, 0.0000) [2 per cell]
La (0.0000, 0.5000, 0.7034) [2 per cell]
Ta (0.0000, 0.0000, 0.4383) [2 per cell]
Ta (0.0000, 0.5000, 0.2330) [2 per cell]

In meV per atom, relative to the most stable structure: A 167; B 0.

A.
A PBEsol-optimized structure of YAs2Cl. Source: the Alexandria database, functional SCAN.

Results
- M_tot (μB/cell) = 0.0
- DOS(E_F) (states/eV per cell) = 2.978

Cell: 5.2048 9.7165 3.3516 Å, 90.00 90.00 90.00°
Space group Cmmm (No. 65)
Unique sites:
Y (0.0000, 0.0000, 0.0000) [2 per cell]
As (0.2500, 0.2500, 0.5000) [4 per cell]
Cl (0.0000, 0.5000, 0.0000) [2 per cell]

B.
A PBEsol-optimized structure of YAs2Cl. Source: the Alexandria database, functional SCAN.

Results
- M_tot (μB/cell) = 0.0
- DOS(E_F) (states/eV per cell) = 15.804

Cell: 6.9835 6.9835 6.9835 Å, 90.00 90.00 90.00°
Space group Fm-3m (No. 225)
Unique sites:
Y (0.0000, 0.0000, 0.0000) [4 per cell]
As (0.2500, 0.2500, 0.2500) [8 per cell]
Cl (0.0000, 0.0000, 0.5000) [4 per cell]

In meV per atom, relative to the most stable structure: A 0; B 468.